[1]
Here is a relaxed LiFe3Sn2S8 crystal from Alexandria. Energies are from PBE.

The value obtained for the energy relative to the elements, uncorrected is -0.448 eV per atom. Its final energy is -5.3284 eV per atom.

Cell lengths 7.043, 7.329, 10.172 Å; angles 90.00, 90.00, 90.00 degrees
Space group Imm2 (No. 44)
Inequivalent atoms, fractional coordinates:
Li: 0.000 0.000 0.000 [2 per cell]
Fe: 0.000 0.500 0.266 [2 per cell]
Fe: 0.248 0.500 0.888 [4 per cell]
Sn: 0.000 0.258 0.639 [4 per cell]
S: 0.000 0.220 0.387 [4 per cell]
S: 0.000 0.297 0.889 [4 per cell]
S: 0.241 0.000 0.165 [4 per cell]
S: 0.243 0.500 0.117 [4 per cell]

***

[2]
Here is a relaxed Pu2PtAu2 crystal from Alexandria. Energies are from PBE.

Its final energy is -8.7490 eV per atom.

Cell lengths 8.254, 4.765, 6.305 Å; angles 90.00, 115.79, 90.00 degrees
Space group C2/m (No. 12)
Inequivalent atoms, fractional coordinates:
Pu: 0.098 0.000 0.296 [4 per cell]
Pt: 0.000 0.500 0.500 [2 per cell]
Au: 0.173 0.500 0.020 [4 per cell]

***

[3]
Here is a relaxed TaAuNO2 crystal from Alexandria. Energies are from PBE.

The value obtained for the energy relative to the elements, uncorrected is 1.074 eV per atom. Its final energy is -5.6004 eV per atom.

Cell lengths 4.028, 4.028, 4.048 Å; angles 90.00, 90.00, 90.00 degrees
Space group P4/mmm (No. 123)
Inequivalent atoms, fractional coordinates:
Ta: 0.000 0.000 0.000 [1 per cell]
Au: 0.500 0.500 0.500 [1 per cell]
N: 0.500 0.500 0.000 [1 per cell]
O: 0.000 0.500 0.500 [2 per cell]

***

[4]
Here is a relaxed Sm5Cd2 crystal from Alexandria. Energies are from PBE.

The energy above the lowest structure with this stoichiometry is 0.0000 eV/atom. Its final energy is -3.7871 eV per atom.

Cell lengths 5.4999, 5.4999, 24.3207 Å; angles 90.00, 90.00, 120.00 degrees
Space group R-3m (No. 166, hexagonal axes)
Inequivalent atoms, fractional coordinates:
Sm: 0.0000 0.0000 0.0000 [3 per cell]
Sm: 0.0000 0.0000 0.1575 [6 per cell]
Sm: 0.0000 0.0000 0.4256 [6 per cell]
Cd: 0.0000 0.0000 0.2889 [6 per cell]

***

[5]
Here is a relaxed CaCdNiHg2 crystal from Alexandria. Energies are from PBE.

The energy above the lowest structure with this stoichiometry is 0.4309 eV/atom. Its final energy is -1.5408 eV per atom.

Cell lengths 5.356, 5.356, 4.918 Å; angles 90.00, 90.00, 90.00 degrees
Space group P4/mmm (No. 123)
Inequivalent atoms, fractional coordinates:
Ca: 0.000 0.000 0.000 [1 per cell]
Cd: 0.500 0.500 0.500 [1 per cell]
Ni: 0.500 0.500 0.000 [1 per cell]
Hg: 0.000 0.500 0.500 [2 per cell]

***

[6]
Here is a relaxed SmYInAu crystal from Alexandria. Energies are from PBE.

The energy above the lowest structure with this stoichiometry is 0.0000 eV/atom. Its final energy is -4.9664 eV per atom.

Cell lengths 3.646, 3.646, 7.785 Å; angles 90.00, 90.00, 90.00 degrees
Space group P4mm (No. 99)
Inequivalent atoms, fractional coordinates:
Sm: 0.000 0.000 0.000 [1 per cell]
Y: 0.000 0.000 0.464 [1 per cell]
In: 0.500 0.500 0.727 [1 per cell]
Au: 0.500 0.500 0.249 [1 per cell]

***

[7]
Here is a relaxed SmDyTm crystal from Alexandria. Energies are from PBE.

The energy above the lowest structure with this stoichiometry is 0.0282 eV/atom. Its final energy is -4.5747 eV per atom.

Cell lengths 3.551, 3.551, 15.085 Å; angles 90.00, 90.00, 90.00 degrees
Space group I4mm (No. 107)
Inequivalent atoms, fractional coordinates:
Sm: 0.000 0.000 0.000 [2 per cell]
Dy: 0.000 0.000 0.331 [2 per cell]
Tm: 0.000 0.000 0.667 [2 per cell]

***

[8]
Here is a relaxed ReSi2Sb crystal from Alexandria. Energies are from PBE.

The value obtained for the energy relative to the elements, uncorrected is 0.213 eV per atom. Its final energy is -6.6409 eV per atom.

Cell lengths 8.255, 3.204, 5.692 Å; angles 90.00, 97.27, 90.00 degrees
Space group Cm (No. 8)
Inequivalent atoms, fractional coordinates:
Re: 0.000 0.000 0.000 [2 per cell]
Si: 0.222 0.500 0.087 [2 per cell]
Si: 0.499 0.000 0.334 [2 per cell]
Sb: 0.283 0.000 0.674 [2 per cell]

***

Question: What is the final energy in the eighth record?
Answer: -6.6409 eV per atom

***

Question: final energy of number 6 (SmYInAu)?
Answer: -4.9664 eV per atom